# LaDyLuHg (PBE-GGA, relaxed)
# final energy = -3.6743 eV per atom
# energy of formation from the pure elements = -0.086 eV/atom
data_LaDyLuHg
_chemical_formula_sum 'La4 Dy4 Lu4 Hg4'
_space_group_name_H-M_alt 'F -4 3 m'
_space_group_IT_number 216
_space_group_name_Hall 'F -4 2 3'
_cell_length_a 7.758
_cell_length_b 7.758
_cell_length_c 7.758
_cell_angle_alpha 90.00
_cell_angle_beta 90.00
_cell_angle_gamma 90.00
loop_
_atom_site_label
_atom_site_fract_x
_atom_site_fract_y
_atom_site_fract_z
_atom_site_occupancy
La1 0.000 0.000 0.000 1
Dy1 0.000 0.000 0.500 1
Lu1 0.250 0.250 0.750 1
Hg1 0.250 0.250 0.250 1